## ScCo2W2 (PBE)

Data for an optimized crystal structure of ScCo2W2.

Calculated values
For the energy of formation, the calculation gives 0.74 eV per formula unit.

Structure (CIF):
```
data_ScCo2W2
_chemical_formula_sum 'Sc2 Co4 W4'
_cell_length_a 7.231
_cell_length_b 7.231
_cell_length_c 2.820
_cell_angle_alpha 90.00
_cell_angle_beta 90.00
_cell_angle_gamma 90.00
_symmetry_space_group_name_H-M 'P 4/m b m'
_symmetry_Int_Tables_number 127
_symmetry_space_group_name_Hall '-P 4 2ab'
loop_
_atom_site_label
_atom_site_type_symbol
_atom_site_fract_x
_atom_site_fract_y
_atom_site_fract_z
_atom_site_occupancy
Sc1 Sc 0.000 0.000 0.000 1
Co1 Co 0.123 0.377 0.000 1
W1 W 0.171 0.671 0.500 1
```



## YTiZnGa (PBE)

Data for an optimized crystal structure of YTiZnGa.

Calculated values
For the energy of formation, the calculation gives -1.22 eV per formula unit.

Structure (CIF):
```
data_YTiZnGa
_chemical_formula_sum 'Y4 Ti4 Zn4 Ga4'
_cell_length_a 6.734
_cell_length_b 6.734
_cell_length_c 6.734
_cell_angle_alpha 90.00
_cell_angle_beta 90.00
_cell_angle_gamma 90.00
_symmetry_space_group_name_H-M 'F -4 3 m'
_symmetry_Int_Tables_number 216
_symmetry_space_group_name_Hall 'F -4 2 3'
loop_
_atom_site_label
_atom_site_type_symbol
_atom_site_fract_x
_atom_site_fract_y
_atom_site_fract_z
_atom_site_occupancy
Y1 Y 0.000 0.000 0.000 1
Ti1 Ti 0.000 0.000 0.500 1
Zn1 Zn 0.250 0.250 0.250 1
Ga1 Ga 0.250 0.250 0.750 1
```



## HoBiOsO6 (PBE)

Data for an optimized crystal structure of HoBiOsO6.

Calculated values
The final energy comes out at -7.22 eV per atom.

Structure (CIF):
```
data_HoBiOsO6
_chemical_formula_sum 'Ho2 Bi2 Os2 O12'
_cell_length_a 5.5418
_cell_length_b 5.5418
_cell_length_c 9.6379
_cell_angle_alpha 90.00
_cell_angle_beta 90.00
_cell_angle_gamma 120.00
_symmetry_space_group_name_H-M 'P -3 1 c'
_symmetry_Int_Tables_number 163
_symmetry_space_group_name_Hall '-P 3 2c'
loop_
_atom_site_label
_atom_site_type_symbol
_atom_site_fract_x
_atom_site_fract_y
_atom_site_fract_z
_atom_site_occupancy
Ho1 Ho 0.3333 0.6667 0.2500 1
Bi1 Bi 0.0000 0.0000 0.0000 1
Os1 Os 0.3333 0.6667 0.7500 1
O1 O 0.0397 0.3782 0.6361 1
```



## LaTm2Hg2 (PBE)

Data for an optimized crystal structure of LaTm2Hg2.

Calculated values
For the energy of formation, the calculation gives -1.32 eV per formula unit.

Structure (CIF):
```
data_LaTm2Hg2
_chemical_formula_sum 'La2 Tm4 Hg4'
_cell_length_a 3.771
_cell_length_b 20.781
_cell_length_c 3.734
_cell_angle_alpha 90.00
_cell_angle_beta 90.00
_cell_angle_gamma 90.00
_symmetry_space_group_name_H-M 'C m m m'
_symmetry_Int_Tables_number 65
_symmetry_space_group_name_Hall '-C 2 2'
loop_
_atom_site_label
_atom_site_type_symbol
_atom_site_fract_x
_atom_site_fract_y
_atom_site_fract_z
_atom_site_occupancy
La1 La 0.000 0.000 0.000 1
Tm1 Tm 0.000 0.180 0.000 1
Hg1 Hg 0.000 0.395 0.500 1
```



## Na2Zn7Au12 (PBE)

Data for an optimized crystal structure of Na2Zn7Au12.

Calculated values
For the energy of formation, the calculation gives -3.80 eV per formula unit.

Structure (CIF):
```
data_Na2Zn7Au12
_chemical_formula_sum 'Na2 Zn7 Au12'
_cell_length_a 10.8350
_cell_length_b 10.8350
_cell_length_c 3.8482
_cell_angle_alpha 90.00
_cell_angle_beta 90.00
_cell_angle_gamma 120.00
_symmetry_space_group_name_H-M 'P -3'
_symmetry_Int_Tables_number 147
loop_
_symmetry_equiv_pos_as_xyz
'x,y,z'
'-x,-y,-z'
'-y,x-y,z'
'y,-x+y,-z'
'-x+y,-x,z'
'x-y,x,-z'
loop_
_atom_site_label
_atom_site_type_symbol
_atom_site_fract_x
_atom_site_fract_y
_atom_site_fract_z
_atom_site_occupancy
Na1 Na 0.3333 0.6667 0.2451 1
Zn1 Zn 0.0000 0.0000 0.5000 1
Zn2 Zn 0.1254 0.7099 0.7410 1
Au1 Au 0.0671 0.4472 0.7519 1
Au2 Au 0.1075 0.2575 0.2370 1
```



## Sc2FeCl (PBE)

Data for an optimized crystal structure of Sc2FeCl.

Calculated values
The calculation puts the energy above the most stable polymorph in this dataset at 0.42 eV per formula unit.

Structure (CIF):
```
data_Sc2FeCl
_chemical_formula_sum 'Sc4 Fe2 Cl2'
_cell_length_a 6.699
_cell_length_b 3.221
_cell_length_c 7.801
_cell_angle_alpha 90.00
_cell_angle_beta 112.08
_cell_angle_gamma 90.00
_symmetry_space_group_name_H-M 'C 1 2/m 1'
_symmetry_Int_Tables_number 12
loop_
_symmetry_equiv_pos_as_xyz
'x,y,z'
'-x,-y,-z'
'-x,y,-z'
'x,-y,z'
'x+1/2,y+1/2,z'
'-x+1/2,-y+1/2,-z'
'-x+1/2,y+1/2,-z'
'x+1/2,-y+1/2,z'
loop_
_atom_site_label
_atom_site_type_symbol
_atom_site_fract_x
_atom_site_fract_y
_atom_site_fract_z
_atom_site_occupancy
Sc1 Sc 0.196 0.000 0.302 1
Fe1 Fe 0.000 0.000 0.500 1
Cl1 Cl 0.000 0.500 0.000 1
```